Entry from the Alexandria database: an optimized crystal structure of TmH2Cl4 (GGA-PBE).

Unit cell a=7.6481 b=7.6481 c=3.6669 alpha=90.00 beta=90.00 gamma=137.66
Positions (direct):
Tm 0.0000 0.0000 0.0000
H 0.3943 0.6057 0.5000
H 0.6057 0.3943 0.5000
Cl 0.1260 0.8740 0.5000
Cl 0.3920 0.6080 0.0000
Cl 0.6080 0.3920 0.0000
Cl 0.8740 0.1260 0.5000

***

Entry from the Alexandria database: an optimized crystal structure of TmHCl2 (GGA-PBE).

Unit cell a=7.4233 b=7.4233 c=7.4233 alpha=28.73 beta=28.73 gamma=28.73
Positions (direct):
Tm 0.0000 0.0000 0.0000
H 0.3333 0.3333 0.3333
Cl 0.5850 0.5850 0.5850
Cl 0.7484 0.7484 0.7484

***

Entry from the Alexandria database: an optimized crystal structure of TmHCl2 (GGA-PBE).

Unit cell a=7.1686 b=7.1686 c=7.1686 alpha=148.59 beta=146.18 gamma=46.82
Positions (direct):
Tm 0.0000 0.0000 0.0000
H 0.5000 0.0000 0.5000
Cl 0.1334 0.6334 0.5000
Cl 0.8666 0.3666 0.5000

***

Entry from the Alexandria database: an optimized crystal structure of UH3Cl6 (GGA-PBE).

Unit cell a=8.7744 b=8.7744 c=8.7744 alpha=83.29 beta=83.29 gamma=83.29
Positions (direct):
U 0.0000 0.0000 0.0000
U 0.5000 0.5000 0.5000
H 0.1372 0.1372 0.4805
H 0.1372 0.4805 0.1372
H 0.4805 0.1372 0.1372
H 0.5195 0.8628 0.8628
H 0.8628 0.5195 0.8628
H 0.8628 0.8628 0.5195
Cl 0.1146 0.8156 0.8156
Cl 0.1844 0.1844 0.8854
Cl 0.1844 0.8854 0.1844
Cl 0.2159 0.5146 0.5146
Cl 0.4854 0.4854 0.7841
Cl 0.4854 0.7841 0.4854
Cl 0.5146 0.2159 0.5146
Cl 0.5146 0.5146 0.2159
Cl 0.7841 0.4854 0.4854
Cl 0.8156 0.1146 0.8156
Cl 0.8156 0.8156 0.1146
Cl 0.8854 0.1844 0.1844

***

Entry from the Alexandria database: an optimized crystal structure of UHCl6 (GGA-PBE).

Unit cell a=8.9535 b=8.9535 c=10.4148 alpha=123.57 beta=123.57 gamma=68.82
Positions (direct):
U 0.2504 0.2504 0.0016
U 0.7496 0.7496 0.9984
H 0.0929 0.4429 0.4609
H 0.5571 0.9071 0.5391
Cl 0.0457 0.5479 0.5829
Cl 0.0779 0.5778 0.0299
Cl 0.1333 0.2491 0.1698
Cl 0.3671 0.2500 0.8352
Cl 0.4222 0.9221 0.9701
Cl 0.4521 0.9543 0.4171
Cl 0.5146 0.4007 0.2734
Cl 0.5993 0.4854 0.7266
Cl 0.7500 0.6328 0.1648
Cl 0.7509 0.8667 0.8302
Cl 0.9001 0.0143 0.2694
Cl 0.9857 0.0999 0.7306

***

Entry from the Alexandria database: an optimized crystal structure of UH6Cl12 (GGA-PBE).

Unit cell a=8.3974 b=8.3974 c=8.3974 alpha=91.01 beta=91.01 gamma=91.01
Positions (direct):
U 0.0000 0.0000 0.0000
H 0.2970 0.3091 0.5103
H 0.3091 0.5103 0.2970
H 0.4897 0.7030 0.6909
H 0.5103 0.2970 0.3091
H 0.6909 0.4897 0.7030
H 0.7030 0.6909 0.4897
Cl 0.0657 0.9046 0.7296
Cl 0.0954 0.2704 0.9343
Cl 0.1909 0.5332 0.3933
Cl 0.2704 0.9343 0.0954
Cl 0.3933 0.1909 0.5332
Cl 0.4668 0.6067 0.8091
Cl 0.5332 0.3933 0.1909
Cl 0.6067 0.8091 0.4668
Cl 0.7296 0.0657 0.9046
Cl 0.8091 0.4668 0.6067
Cl 0.9046 0.7296 0.0657
Cl 0.9343 0.0954 0.2704

***

no.,energy (eV/atom)
1,-3.5245
2,-4.6463
3,-4.4967
4,-3.6214
5,-4.5442
6,-3.6919